# 1
A geometry-optimized HOs2 structure. Source: Alexandria, functional PBE-GGA.

a = 2.785 Å, b = 2.785 Å, c = 4.001 Å
α = 90.00°, β = 90.00°, γ = 90.00°
Element x y z (fractional)
H 0.000 0.000 0.360
Os 0.500 0.500 0.277
Os 0.000 0.000 0.808

Energy above the lowest structure with this stoichiometry (kcal/mol of atoms): 1.564

# 2
A geometry-optimized Mg2HAu2 structure. Source: Alexandria, functional PBE-GGA.

a = 5.917 Å, b = 5.917 Å, c = 4.697 Å
α = 90.00°, β = 90.00°, γ = 90.00°
Element x y z (fractional)
H 0.000 0.000 0.000
H 0.500 0.500 0.000
Mg 0.324 0.824 0.000
Mg 0.824 0.676 0.000
Mg 0.676 0.176 0.000
Mg 0.176 0.324 0.000
Au 0.159 0.659 0.500
Au 0.659 0.841 0.500
Au 0.841 0.341 0.500
Au 0.341 0.159 0.500

Calculated total energy (eV/atom): -2.75

# 3
A geometry-optimized LaPm2F11 structure. Source: Alexandria, functional PBE-GGA.

a = 8.690 Å, b = 9.071 Å, c = 9.071 Å
α = 71.21°, β = 61.38°, γ = 61.38°
Last column: magnetic moment on the atom in μB.
Element x y z (fractional)
La 0.750 0.750 0.750  -0.01
La 0.250 0.250 0.250  -0.01
Pm 0.659 0.690 0.310  -0.01
Pm 0.341 0.310 0.690  -0.01
Pm 0.841 0.190 0.810  -0.01
Pm 0.159 0.810 0.190  -0.01
F 0.663 0.708 0.553  0.13
F 0.337 0.292 0.447  0.13
F 0.076 0.553 0.708  0.13
F 0.837 0.947 0.792  0.13
F 0.924 0.447 0.292  0.13
F 0.163 0.053 0.208  0.13
F 0.424 0.792 0.947  0.13
F 0.576 0.208 0.053  0.13
F 0.500 0.500 0.500  0.43
F 0.000 0.000 0.000  0.43
F 0.892 0.809 0.191  0.24
F 0.108 0.191 0.809  0.24
F 0.608 0.309 0.691  0.24
F 0.392 0.691 0.309  0.24
F 0.465 0.968 0.313  0.13
F 0.535 0.032 0.687  0.13
F 0.253 0.313 0.968  0.13
F 0.035 0.187 0.532  0.13
F 0.747 0.687 0.032  0.13
F 0.965 0.813 0.468  0.13
F 0.247 0.532 0.187  0.13
F 0.753 0.468 0.813  0.13

E_form (uncorrected) (kJ/mol of formula units): -4624

# 4
A geometry-optimized NbRuW3 structure. Source: Alexandria, functional PBE-GGA.

a = 4.661 Å, b = 4.661 Å, c = 4.661 Å
α = 90.00°, β = 90.00°, γ = 90.00°
Element x y z (fractional)
Ru 0.000 0.000 0.000
Nb 0.500 0.500 0.500
W 0.000 0.500 0.000
W 0.000 0.000 0.500
W 0.500 0.000 0.000

E_form (meV per atom): 1776.8
Energy above the lowest structure with this stoichiometry (kcal/mol of atoms): 0.000

# 5
A geometry-optimized YHo6Tl structure. Source: Alexandria, functional PBE-GGA.

a = 4.886 Å, b = 4.886 Å, c = 10.017 Å
α = 90.00°, β = 90.00°, γ = 90.00°
Element x y z (fractional)
Y 0.000 0.000 0.000
Ho 0.500 0.500 0.000
Ho 0.500 0.500 0.500
Ho 0.500 0.000 0.255
Ho 0.500 0.000 0.745
Ho 0.000 0.500 0.255
Ho 0.000 0.500 0.745
Tl 0.000 0.000 0.500

E_form (meV per atom): -71.4
Energy above the lowest structure with this stoichiometry (kcal/mol of atoms): 0.000

# 6
A geometry-optimized ZnBi2O structure. Source: Alexandria, functional PBE-GGA.

a = 5.439 Å, b = 5.439 Å, c = 8.047 Å
α = 70.25°, β = 70.25°, γ = 90.00°
Element x y z (fractional)
Zn 0.000 0.000 0.000
Zn 0.750 0.250 0.500
Bi 0.538 0.125 0.250
Bi 0.212 0.625 0.250
Bi 0.375 0.462 0.750
Bi 0.875 0.788 0.750
O 0.500 0.500 0.000
O 0.250 0.750 0.500

E_form (uncorrected) (kJ/mol of formula units): -58
Energy above the lowest structure with this stoichiometry (kcal/mol of atoms): 0.000

# 7
A geometry-optimized Rb2NbBrF6 structure. Source: Alexandria, functional PBE-GGA.

a = 8.086 Å, b = 8.087 Å, c = 7.955 Å
α = 45.85°, β = 41.26°, γ = 47.86°
Element x y z (fractional)
Rb 0.499 0.602 0.268
Rb 0.132 0.030 0.836
Nb 0.316 0.316 0.051
Br 0.816 0.816 0.552
F 0.359 0.380 0.211
F 0.203 0.042 0.394
F 0.956 0.529 0.182
F 0.429 0.591 0.709
F 0.677 0.103 0.920
F 0.274 0.252 0.891

E_form (uncorrected) (kJ/mol of formula units): -2695
Energy above the lowest structure with this stoichiometry (kcal/mol of atoms): 0.000

# 8
A geometry-optimized PmReO4 structure. Source: Alexandria, functional PBE-GGA.

a = 5.492 Å, b = 5.111 Å, c = 6.663 Å
α = 109.40°, β = 111.36°, γ = 97.16°
Last column: magnetic moment on the atom in μB.
Element x y z (fractional)
Pm 0.364 0.614 0.227  0.05
Pm 0.636 0.386 0.773  0.05
Re 0.092 0.842 0.684  1.40
Re 0.908 0.158 0.316  1.40
O 0.934 0.285 0.087  0.10
O 0.653 0.802 0.087  0.10
O 0.262 0.556 0.561  0.05
O 0.738 0.444 0.439  0.05
O 0.201 0.995 0.439  0.05
O 0.347 0.198 0.913  0.10
O 0.799 0.005 0.561  0.05
O 0.066 0.715 0.913  0.10

E_form (uncorrected) (kJ/mol of formula units): -1305
Energy above the lowest structure with this stoichiometry (kcal/mol of atoms): 2.244